Crystalline HfBePd2 at its relaxed geometry. Source: Alexandria via LeMat-Bulk, functional PBE.

Cell lengths 6.832, 6.832, 5.395 Å; angles 90.00, 90.00, 90.00 degrees
Space group I-42d (No. 122)
Unique sites:
Hf: 0.000 0.000 0.000
Be: 0.000 0.000 0.500
Pd: 0.179 0.250 0.625

## Properties
Calculated volume in Å³/cell: 252
Formation energy in eV per atom: -0.31
DOS(E_F) in states/eV/atom: 0.565

***

Crystalline YBePb at its relaxed geometry. Source: Alexandria via LeMat-Bulk, functional PBE.

Cell lengths 6.907, 6.907, 6.907 Å; angles 90.00, 90.00, 90.00 degrees
Space group F-43m (No. 216)
Unique sites:
Y: 0.000 0.000 0.000
Be: 0.250 0.250 0.250
Pb: 0.250 0.250 0.750

## Properties
Calculated volume in Å³/cell: 330
Formation energy in eV per atom: 0.48
DOS(E_F) in states/eV/atom: 0.649
Polymorph energy (0 for the lowest one) in meV/atom: 695

***

Crystalline Tm3GaGe2 at its relaxed geometry. Source: Alexandria via LeMat-Bulk, functional PBE.

Cell lengths 11.446, 4.145, 11.342 Å; angles 90.00, 90.00, 90.00 degrees
Space group Pnma (No. 62)
Unique sites:
Tm: 0.053 0.250 0.121
Tm: 0.126 0.750 0.562
Tm: 0.206 0.250 0.801
Ga: 0.135 0.250 0.366
Ge: 0.012 0.750 0.313
Ge: 0.185 0.750 0.004

## Properties
Calculated volume in Å³/cell: 538
Formation energy in eV per atom: -0.71
DOS(E_F) in states/eV/atom: 0.498

***

Crystalline CrH3Rh2 at its relaxed geometry. Source: Alexandria via LeMat-Bulk, functional PBE.

Cell lengths 4.917, 2.843, 7.033 Å; angles 90.00, 90.11, 90.00 degrees
Space group Cm (No. 8)
Unique sites:
Cr: 0.000 0.000 0.000
H: 0.166 0.500 0.885
H: 0.169 0.500 0.385
H: 0.499 0.500 0.588
Rh: 0.333 0.000 0.693
Rh: 0.335 0.000 0.287

## Properties
Calculated volume in Å³/cell: 98
DOS(E_F) in states/eV/atom: 0.671
Uncorrected energy in eV/cell: -68.18

***

Crystalline DyLuZnCd at its relaxed geometry. Source: Alexandria via LeMat-Bulk, functional PBE.

Cell lengths 7.253, 7.253, 7.253 Å; angles 90.00, 90.00, 90.00 degrees
Space group F-43m (No. 216)
Unique sites:
Dy: 0.000 0.000 0.000
Lu: 0.000 0.000 0.500
Zn: 0.250 0.250 0.750
Cd: 0.250 0.250 0.250

## Properties
Calculated volume in Å³/cell: 381
Formation energy in eV per atom: -0.31
DOS(E_F) in states/eV/atom: 0.807

***

Crystalline ThGa2SiNi4 at its relaxed geometry. Source: Alexandria via LeMat-Bulk, functional PBE.

Cell lengths 4.0601, 4.0601, 25.0499 Å; angles 90.00, 90.00, 120.00 degrees
Space group R-3m (No. 166, hexagonal axes)
Unique sites:
Th: 0.0000 0.0000 0.0000
Ga: 0.0000 0.0000 0.2424
Si: 0.0000 0.0000 0.5000
Ni: 0.0000 0.0000 0.1385
Ni: 0.0000 0.0000 0.4080

## Properties
Calculated volume in Å³/cell: 358
DOS(E_F) in states/eV/atom: 0.762
Uncorrected energy in eV/cell: -138.10

***

Crystalline Sm3HoSb4 at its relaxed geometry. Source: Alexandria via LeMat-Bulk, functional PBE.

Cell lengths 8.893, 12.574, 4.447 Å; angles 90.00, 90.00, 90.00 degrees
Space group Cmmm (No. 65)
Unique sites:
Sm: 0.000 0.000 0.000
Sm: 0.250 0.250 0.500
Ho: 0.000 0.500 0.000
Sb: 0.000 0.252 0.000
Sb: 0.245 0.500 0.500

## Properties
Calculated volume in Å³/cell: 497
DOS(E_F) in states/eV/atom: 0.133
Polymorph energy (0 for the lowest one) in meV/atom: 3

***

Crystalline SrSnGe2 at its relaxed geometry. Source: Alexandria via LeMat-Bulk, functional PBE.

Cell lengths 4.8242, 4.8242, 16.1129 Å; angles 90.00, 90.00, 120.00 degrees
Space group R-3m (No. 166, hexagonal axes)
Unique sites:
Sr: 0.0000 0.0000 0.0000
Sn: 0.0000 0.0000 0.5000
Ge: 0.0000 0.0000 0.2136

## Properties
Calculated volume in Å³/cell: 325
Formation energy in eV per atom: -0.21
DOS(E_F) in states/eV/atom: 0.336

***

Crystalline Li12AcGe4 at its relaxed geometry. Source: Alexandria via LeMat-Bulk, functional PBE.

Cell lengths 9.277, 9.277, 9.277 Å; angles 90.00, 90.00, 90.00 degrees
Space group Im-3 (No. 204)
Unique sites:
Li: 0.000 0.206 0.336
Ac: 0.000 0.000 0.000
Ge: 0.250 0.250 0.250

## Properties
Calculated volume in Å³/cell: 798
Formation energy in eV per atom: -0.05
DOS(E_F) in states/eV/atom: 0.530

***

Crystalline TbScBi at its relaxed geometry. Source: Alexandria via LeMat-Bulk, functional PBE.

Cell lengths 5.612, 10.339, 5.610 Å; angles 90.00, 90.00, 90.00 degrees
Space group Cmcm (No. 63)
Unique sites:
Tb: 0.000 0.092 0.250
Sc: 0.000 0.413 0.250
Bi: 0.000 0.250 0.750

## Properties
Calculated volume in Å³/cell: 326
Formation energy in eV per atom: -0.42
DOS(E_F) in states/eV/atom: 0.908

***

Crystalline Cd2SnS at its relaxed geometry. Source: Alexandria via LeMat-Bulk, functional PBE.

Cell lengths 7.207, 7.207, 7.207 Å; angles 90.00, 90.00, 90.00 degrees
Space group Fm-3m (No. 225)
Unique sites:
Cd: 0.250 0.250 0.250
Sn: 0.000 0.000 0.000
S: 0.000 0.000 0.500

## Properties
Calculated volume in Å³/cell: 374
DOS(E_F) in states/eV/atom: 1.221
Polymorph energy (0 for the lowest one) in meV/atom: 315

***

Crystalline Ti2Be2Co5W at its relaxed geometry. Source: Alexandria via LeMat-Bulk, functional PBE.

Cell lengths 8.440, 8.440, 3.220 Å; angles 90.00, 90.00, 90.00 degrees
Space group P4/mbm (No. 127)
Unique sites:
Ti: 0.174 0.326 0.000
Be: 0.119 0.619 0.000
Co: 0.000 0.500 0.500
Co: 0.070 0.787 0.500
W: 0.000 0.000 0.000

## Properties
Calculated volume in Å³/cell: 229
Formation energy in eV per atom: -0.30
DOS(E_F) in states/eV/atom: 0.510

***

Question: Which formula does entry 11 have?
Answer: Cd2SnS

***

Copy entry 1 word for word.
Crystalline HfBePd2 at its relaxed geometry. Source: Alexandria via LeMat-Bulk, functional PBE.

Cell lengths 6.832, 6.832, 5.395 Å; angles 90.00, 90.00, 90.00 degrees
Space group I-42d (No. 122)
Unique sites:
Hf: 0.000 0.000 0.000
Be: 0.000 0.000 0.500
Pd: 0.179 0.250 0.625

## Properties
Calculated volume in Å³/cell: 252
Formation energy in eV per atom: -0.31
DOS(E_F) in states/eV/atom: 0.565

***

Question: Among the records above, which one has the highest DOS(E_F)?
Answer: Cd2SnS